i:
A plane-wave DFT calculation with PBE was carried out for EuYIr after structural relaxation.

Space-group type   F-43m, No. 216

a b c (Å): 4.8754 4.8754 4.8754
angles (deg): 60.00 60.00 60.00
Last column: magnetic moment on the atom in μB.
Element x y z (fractional)
Ir1 0.2500 0.2500 0.2500  -0.08
Y1 0.5000 0.5000 0.5000  0.05
Eu1 0.0000 0.0000 0.0000  6.78

---

ii:
A plane-wave DFT calculation with PBE was carried out for EuYIr after structural relaxation.

Space-group type   I4mm, No. 107

a b c (Å): 3.4863 3.4863 7.1289
angles (deg): 104.15 104.15 90.00
Last column: magnetic moment on the atom in μB.
Element x y z (fractional)
Eu1 0.0350 0.0350 0.0701  6.83
Y1 0.2886 0.2886 0.5773  0.03
Ir1 0.6763 0.6763 0.3526  -0.12

---

So which one is most stable? That would be i, about 47 meV per atom below the next structure.

---

i:
A plane-wave DFT calculation with PBE was carried out for KLaEu2 after structural relaxation.

Space-group type   P4/mmm, No. 123

a b c (Å): 3.8699 3.8699 12.4183
angles (deg): 90.00 90.00 90.00
Last column: magnetic moment on the atom in μB.
Element x y z (fractional)
Eu1 0.0000 0.0000 0.2155  6.99
Eu2 0.0000 0.0000 0.7845  6.99
K1 0.5000 0.5000 0.5000  0.01
La1 0.5000 0.5000 0.0000  0.12

---

ii:
A plane-wave DFT calculation with PBE was carried out for KLaEu2 after structural relaxation.

Space-group type   R-3m, No. 166

a b c (Å): 3.8753 3.8753 14.4147
angles (deg): 82.27 82.27 60.00
Last column: magnetic moment on the atom in μB.
Element x y z (fractional)
Eu1 0.9063 0.9063 0.2810  -7.03
Eu2 0.0937 0.0937 0.7190  -7.03
K1 0.0000 0.0000 0.0000  -0.01
La1 0.5000 0.5000 0.5000  -0.13

---

So which one is most stable? That would be i, about 24 meV per atom below the next structure.

---

i:
A plane-wave DFT calculation with PBE was carried out for KNaEu after structural relaxation.

Space-group type   I4mm, No. 107

a b c (Å): 4.0276 4.0276 9.6644
angles (deg): 102.03 102.03 90.00
Last column: magnetic moment on the atom in μB.
Element x y z (fractional)
K1 0.0077 0.0077 0.0153  0.01
Na1 0.6733 0.6733 0.3465  0.01
Eu1 0.3191 0.3191 0.6382  7.07

---

ii:
A plane-wave DFT calculation with PBE was carried out for KNaEu after structural relaxation.

Space-group type   P3m1, No. 156

a b c (Å): 4.0600 4.0600 10.3523
angles (deg): 90.00 90.00 120.00
Last column: magnetic moment on the atom in μB.
Element x y z (fractional)
Eu1 0.0000 0.0000 0.0194  7.07
Na1 0.6667 0.3333 0.3203  0.01
K1 0.3333 0.6667 0.6603  0.01

---

So which one is most stable? That would be ii, about 11 meV per atom below the next structure.

---

i:
A plane-wave DFT calculation with PBE was carried out for K2NaEu after structural relaxation.

Space-group type   R-3m, No. 166

a b c (Å): 4.1183 4.1183 15.0160
angles (deg): 82.12 82.12 60.00
Last column: magnetic moment on the atom in μB.
Element x y z (fractional)
K1 0.0897 0.0897 0.7310  0.00
K2 0.9103 0.9103 0.2690  0.00
Na1 0.5000 0.5000 0.5000  0.00
Eu1 0.0000 0.0000 0.0000  7.02

---

ii:
A plane-wave DFT calculation with PBE was carried out for K2NaEu after structural relaxation.

Space-group type   P4/mmm, No. 123

a b c (Å): 4.1188 4.1188 12.9154
angles (deg): 90.00 90.00 90.00
Last column: magnetic moment on the atom in μB.
Element x y z (fractional)
K1 0.0000 0.0000 0.2654  -0.01
K2 0.0000 0.0000 0.7346  -0.01
Eu1 0.5000 0.5000 0.0000  -7.05
Na1 0.5000 0.5000 0.5000  -0.01

---

iii:
A plane-wave DFT calculation with PBE was carried out for K2NaEu after structural relaxation.

Space-group type   P4/mmm, No. 123

a b c (Å): 4.5099 7.1076 7.1076
angles (deg): 90.00 90.00 90.00
Last column: magnetic moment on the atom in μB.
Element x y z (fractional)
K1 0.0000 0.5000 0.0000  0.01
K2 0.0000 0.0000 0.5000  0.01
Na1 0.5000 0.5000 0.5000  0.00
Eu1 0.5000 0.0000 0.0000  7.02

---

So which one is most stable? That would be ii, about 35 meV per atom below the next structure.

---

i:
A plane-wave DFT calculation with PBE was carried out for KNaEu2 after structural relaxation.

Space-group type   P4/mmm, No. 123

a b c (Å): 3.9987 3.9987 12.2222
angles (deg): 90.00 90.00 90.00
Last column: magnetic moment on the atom in μB.
Element x y z (fractional)
Eu1 0.0000 0.0000 0.2123  6.99
Eu2 0.0000 0.0000 0.7877  6.99
Na1 0.5000 0.5000 0.0000  0.00
K1 0.5000 0.5000 0.5000  0.01

---

ii:
A plane-wave DFT calculation with PBE was carried out for KNaEu2 after structural relaxation.

Space-group type   R-3m, No. 166

a b c (Å): 3.9300 3.9300 14.5062
angles (deg): 82.21 82.21 60.00
Last column: magnetic moment on the atom in μB.
Element x y z (fractional)
Eu1 0.0923 0.0923 0.7230  7.04
Eu2 0.9077 0.9077 0.2770  7.04
K1 0.0000 0.0000 0.0000  0.01
Na1 0.5000 0.5000 0.5000  0.01

---

So which one is most stable? That would be i, about 18 meV per atom below the next structure.

---

i:
A plane-wave DFT calculation with PBE was carried out for KRb2Eu after structural relaxation.

Space-group type   R-3m, No. 166

a b c (Å): 4.4300 4.4300 16.8962
angles (deg): 82.47 82.47 60.00
Last column: magnetic moment on the atom in μB.
Element x y z (fractional)
Rb1 0.9161 0.9161 0.2517  0.00
Rb2 0.0839 0.0839 0.7483  0.00
K1 0.5000 0.5000 0.5000  0.00
Eu1 0.0000 0.0000 0.0000  -7.01

---

ii:
A plane-wave DFT calculation with PBE was carried out for KRb2Eu after structural relaxation.

Space-group type   P4/mmm, No. 123

a b c (Å): 4.4025 4.4025 14.6830
angles (deg): 90.00 90.00 90.00
Last column: magnetic moment on the atom in μB.
Element x y z (fractional)
Rb1 0.0000 0.0000 0.2370  0.01
Rb2 0.0000 0.0000 0.7630  0.01
K1 0.5000 0.5000 0.5000  0.00
Eu1 0.5000 0.5000 0.0000  7.08

---

So which one is most stable? That would be ii, about 48 meV per atom below the next structure.

---

i:
A plane-wave DFT calculation with PBE was carried out for KEu2Rh after structural relaxation.

Space-group type   P4/mmm, No. 123

a b c (Å): 3.6435 3.6435 10.7844
angles (deg): 90.00 90.00 90.00
Last column: magnetic moment on the atom in μB.
Element x y z (fractional)
Eu1 0.0000 0.0000 0.1546  6.91
Eu2 0.0000 0.0000 0.8454  6.91
K1 0.5000 0.5000 0.5000  0.01
Rh1 0.5000 0.5000 0.0000  -0.30

---

ii:
A plane-wave DFT calculation with PBE was carried out for KEu2Rh after structural relaxation.

Space-group type   R-3m, No. 166

a b c (Å): 4.1960 4.1960 11.4898
angles (deg): 79.48 79.48 60.00
Last column: magnetic moment on the atom in μB.
Element x y z (fractional)
Eu1 0.1211 0.1211 0.6366  6.81
Eu2 0.8789 0.8789 0.3634  6.81
Rh1 0.5000 0.5000 0.5000  -0.25
K1 0.0000 0.0000 0.0000  0.00

---

So which one is most stable? That would be i, about 24 meV per atom below the next structure.

---

i:
A plane-wave DFT calculation with PBE was carried out for KSmEu2 after structural relaxation.

Space-group type   R-3m, No. 166

a b c (Å): 3.8351 3.8351 14.2009
angles (deg): 82.24 82.24 60.00
Last column: magnetic moment on the atom in μB.
Element x y z (fractional)
Sm1 0.5000 0.5000 0.5000  0.19
Eu1 0.9055 0.9055 0.2835  7.06
Eu2 0.0945 0.0945 0.7165  7.06
K1 0.0000 0.0000 0.0000  0.01

---

ii:
A plane-wave DFT calculation with PBE was carried out for KSmEu2 after structural relaxation.

Space-group type   P4/mmm, No. 123

a b c (Å): 3.8408 3.8408 12.2504
angles (deg): 90.00 90.00 90.00
Last column: magnetic moment on the atom in μB.
Element x y z (fractional)
K1 0.5000 0.5000 0.5000  -0.01
Eu1 0.0000 0.0000 0.7890  -7.01
Eu2 0.0000 0.0000 0.2110  -7.01
Sm1 0.5000 0.5000 0.0000  -0.21

---

So which one is most stable? That would be ii, about 24 meV per atom below the next structure.

---

i:
A plane-wave DFT calculation with PBE was carried out for KSrEu2 after structural relaxation.

Space-group type   P4/mmm, No. 123

a b c (Å): 4.4721 6.8626 6.8626
angles (deg): 90.00 90.00 90.00
Last column: magnetic moment on the atom in μB.
Element x y z (fractional)
Eu1 0.0000 0.0000 0.5000  7.03
Eu2 0.0000 0.5000 0.0000  7.03
Sr1 0.5000 0.5000 0.5000  0.05
K1 0.5000 0.0000 0.0000  0.01

---

ii:
A plane-wave DFT calculation with PBE was carried out for KSrEu2 after structural relaxation.

Space-group type   R-3m, No. 166

a b c (Å): 4.1203 4.1203 14.3912
angles (deg): 81.77 81.77 60.00
Last column: magnetic moment on the atom in μB.
Element x y z (fractional)
Eu1 0.2542 0.2542 0.2374  6.98
Eu2 0.7458 0.7458 0.7626  6.98
Sr1 0.0000 0.0000 0.0000  0.00
K1 0.5000 0.5000 0.5000  0.01

---

So which one is most stable? That would be ii, about 67 meV per atom below the next structure.

---

i:
A plane-wave DFT calculation with PBE was carried out for La2Eu after structural relaxation.

Space-group type   I4/mmm, No. 139

a b c (Å): 3.7823 3.7823 8.4956
angles (deg): 102.86 102.86 90.00
Last column: magnetic moment on the atom in μB.
Element x y z (fractional)
Eu1 0.0000 0.0000 0.0000  7.02
La1 0.3274 0.3274 0.6548  -0.04
La2 0.6726 0.6726 0.3452  -0.04

---

ii:
A plane-wave DFT calculation with PBE was carried out for La2Eu after structural relaxation.

Space-group type   Fd-3m, No. 227

a b c (Å): 6.9866 6.9866 6.9866
angles (deg): 60.00 60.00 60.00
Last column: magnetic moment on the atom in μB.
Element x y z (fractional)
La1 0.6250 0.6250 0.1250  -0.01
La2 0.6250 0.1250 0.6250  -0.01
La3 0.1250 0.6250 0.6250  -0.01
La4 0.6250 0.6250 0.6250  -0.01
Eu1 0.0000 0.0000 0.0000  -6.89
Eu2 0.2500 0.2500 0.2500  -6.89

---

So which one is most stable? That would be i, about 163 meV per atom below the next structure.

---

i:
A plane-wave DFT calculation with PBE was carried out for LaEuMg after structural relaxation.

Space-group type   I4mm, No. 107

a b c (Å): 3.9816 3.9816 7.0772
angles (deg): 106.34 106.34 90.00
Last column: magnetic moment on the atom in μB.
Element x y z (fractional)
Mg1 0.6685 0.6685 0.3371  0.01
Eu1 0.0161 0.0161 0.0323  -6.92
La1 0.3153 0.3153 0.6307  -0.06

---

ii:
A plane-wave DFT calculation with PBE was carried out for LaEuMg after structural relaxation.

Space-group type   P3m1, No. 156

a b c (Å): 3.5261 5.7090 5.7090
angles (deg): 120.00 90.00 90.00
Last column: magnetic moment on the atom in μB.
Element x y z (fractional)
Eu1 0.9615 0.0000 0.0000  6.93
Mg1 0.6954 0.6667 0.3333  0.00
La1 0.3431 0.3333 0.6667  0.03

---

So which one is most stable? That would be i, about 62 meV per atom below the next structure.

---

i:
A plane-wave DFT calculation with PBE was carried out for NaLaEu2 after structural relaxation.

Space-group type   R-3m, No. 166

a b c (Å): 3.7976 3.7976 12.9620
angles (deg): 81.58 81.58 60.00
Last column: magnetic moment on the atom in μB.
Element x y z (fractional)
Eu1 0.7487 0.7487 0.7540  -6.99
Eu2 0.2513 0.2513 0.2460  -6.99
La1 0.0000 0.0000 0.0000  -0.04
Na1 0.5000 0.5000 0.5000  0.00

---

ii:
A plane-wave DFT calculation with PBE was carried out for NaLaEu2 after structural relaxation.

Space-group type   P4/mmm, No. 123

a b c (Å): 3.9999 6.2752 6.2752
angles (deg): 90.00 90.00 90.00
Last column: magnetic moment on the atom in μB.
Element x y z (fractional)
Eu1 0.0000 0.5000 0.0000  6.96
Eu2 0.0000 0.0000 0.5000  6.96
La1 0.5000 0.5000 0.5000  0.19
Na1 0.5000 0.0000 0.0000  0.00

---

So which one is most stable? That would be i, about 65 meV per atom below the next structure.

---

i:
A plane-wave DFT calculation with PBE was carried out for NaLaEu after structural relaxation.

Space-group type   P3m1, No. 156

a b c (Å): 3.7564 3.7564 9.5726
angles (deg): 90.00 90.00 120.00
Last column: magnetic moment on the atom in μB.
Element x y z (fractional)
Na1 0.0000 0.0000 0.9970  0.00
La1 0.3333 0.6667 0.6611  0.07
Eu1 0.6667 0.3333 0.3419  7.07

---

ii:
A plane-wave DFT calculation with PBE was carried out for NaLaEu after structural relaxation.

Space-group type   I4mm, No. 107

a b c (Å): 3.6842 3.6842 8.9955
angles (deg): 101.82 101.82 90.00
Last column: magnetic moment on the atom in μB.
Element x y z (fractional)
Na1 0.3347 0.3347 0.6695  0.00
Eu1 0.6627 0.6627 0.3255  7.06
La1 0.0025 0.0025 0.0050  0.13

---

So which one is most stable? That would be i, about 33 meV per atom below the next structure.

---

i:
A plane-wave DFT calculation with PBE was carried out for LaNd2Eu after structural relaxation.

Space-group type   R-3m, No. 166

a b c (Å): 3.6544 3.6544 13.1070
angles (deg): 81.99 81.99 60.00
Last column: magnetic moment on the atom in μB.
Element x y z (fractional)
Nd1 0.0898 0.0898 0.7305  0.03
Nd2 0.9102 0.9102 0.2695  0.03
Eu1 0.0000 0.0000 0.0000  7.04
La1 0.5000 0.5000 0.5000  0.01

---

ii:
A plane-wave DFT calculation with PBE was carried out for LaNd2Eu after structural relaxation.

Space-group type   Fm-3m, No. 225

a b c (Å): 5.9491 5.9491 5.9491
angles (deg): 60.00 60.00 60.00
Last column: magnetic moment on the atom in μB.
Element x y z (fractional)
Nd1 0.7500 0.7500 0.7500  0.17
Nd2 0.2500 0.2500 0.2500  0.17
La1 0.0000 0.0000 0.0000  0.17
Eu1 0.5000 0.5000 0.5000  6.90

---

iii:
A plane-wave DFT calculation with PBE was carried out for LaNd2Eu after structural relaxation.

Space-group type   P4/mmm, No. 123

a b c (Å): 5.3149 5.2494 5.2494
angles (deg): 90.00 90.00 90.00
Last column: magnetic moment on the atom in μB.
Element x y z (fractional)
La1 0.5000 0.5000 0.5000  0.03
Eu1 0.5000 0.0000 0.0000  6.86
Nd1 0.0000 0.0000 0.5000  0.02
Nd2 0.0000 0.5000 0.0000  0.02

---

So which one is most stable? That would be iii, about 70 meV per atom below the next structure.